[1]
Here is a relaxed structure of Ba2YCdH from Alexandria via LeMat-Bulk. Energies are from PBE.

Calculated total energy = -3.02 eV per atom

Unit cell a=6.0550 b=6.0550 c=4.4352 alpha=90.00 beta=90.00 gamma=90.00
With the nearest neighbours (Å) after each atom.
Positions (direct):
Y (0.0000, 0.0000, 0.5000)  2 H 2.22
H (0.0000, 0.0000, 0.0000)  2 Y 2.22
Ba (0.0000, 0.5000, 0.0000)  2 H 3.03
Ba (0.5000, 0.0000, 0.0000)  2 H 3.03
Cd (0.5000, 0.5000, 0.5000)  8 Ba 3.75

***

[2]
Here is a relaxed structure of ScCoW3 from Alexandria via LeMat-Bulk. Energies are from PBE.

Calculated total energy = -9.37 eV per atom
Energy relative to the elements = 1094 meV/atom
E above lowest polymorph = 0 meV per atom

Unit cell a=4.5222 b=4.5222 c=4.5222 alpha=90.00 beta=90.00 gamma=90.00
With the nearest neighbours (Å) after each atom.
Positions (direct):
Sc (0.5000, 0.5000, 0.5000)  12 W 3.20
Co (0.0000, 0.0000, 0.0000)  6 W 2.26
W (0.0000, 0.5000, 0.0000)  2 Co 2.26
W (0.0000, 0.0000, 0.5000)  2 Co 2.26
W (0.5000, 0.0000, 0.0000)  2 Co 2.26

***

[3]
Here is a relaxed structure of Cd3Ge5Cl12 from Alexandria via LeMat-Bulk. Energies are from PBE.

Calculated total energy = -2.92 eV per atom
Formation energy (no corrections) = -0.517 eV per atom

Unit cell a=14.8209 b=14.8209 c=14.8209 alpha=109.47 beta=109.47 gamma=109.47
With the nearest neighbours (Å) after each atom.
Positions (direct):
Cd (0.7500, 0.3750, 0.1250)  8 Cl 3.39-3.43
Cd (0.8750, 0.7500, 0.1250)  8 Cl 3.39-3.43
Cd (0.3750, 0.7500, 0.6250)  8 Cl 3.39-3.43
Cd (0.2500, 0.1250, 0.3750)  8 Cl 3.39-3.43
Cd (0.8750, 0.1250, 0.2500)  8 Cl 3.39-3.43
Cd (0.3750, 0.6250, 0.2500)  8 Cl 3.39-3.43
Cd (0.6250, 0.3750, 0.7500)  8 Cl 3.39-3.43
Cd (0.1250, 0.8750, 0.7500)  8 Cl 3.39-3.43
Cd (0.7500, 0.8750, 0.6250)  8 Cl 3.39-3.43
Cd (0.6250, 0.2500, 0.3750)  8 Cl 3.39-3.43
Cd (0.1250, 0.2500, 0.8750)  8 Cl 3.39-3.43
Cd (0.2500, 0.6250, 0.8750)  8 Cl 3.39-3.43
Ge (0.1250, 0.3750, 0.2500)  4 Cl 2.56
Ge (0.0000, 0.5000, 0.0000)  6 Cl 2.70
Ge (0.0000, 0.0000, 0.0000)  6 Cl 2.70
Ge (0.3750, 0.2500, 0.1250)  4 Cl 2.56
Ge (0.5000, 0.0000, 0.5000)  6 Cl 2.70
Ge (0.5000, 0.5000, 0.0000)  6 Cl 2.70
Ge (0.1250, 0.7500, 0.3750)  4 Cl 2.56
Ge (0.7500, 0.1250, 0.8750)  4 Cl 2.56
Ge (0.7500, 0.6250, 0.3750)  4 Cl 2.56
Ge (0.3750, 0.1250, 0.7500)  4 Cl 2.56
Ge (0.6250, 0.8750, 0.2500)  4 Cl 2.56
Ge (0.5000, 0.5000, 0.5000)  6 Cl 2.70
Ge (0.5000, 0.0000, 0.0000)  6 Cl 2.70
Ge (0.0000, 0.0000, 0.5000)  6 Cl 2.70
Ge (0.2500, 0.3750, 0.6250)  4 Cl 2.56
Ge (0.2500, 0.8750, 0.1250)  4 Cl 2.56
Ge (0.0000, 0.5000, 0.5000)  6 Cl 2.70
Ge (0.8750, 0.2500, 0.6250)  4 Cl 2.56
Ge (0.6250, 0.7500, 0.8750)  4 Cl 2.56
Ge (0.8750, 0.6250, 0.7500)  4 Cl 2.56
Cl (0.6978, 0.1107, 0.0197)  2 Ge 2.56-2.70
Cl (0.3219, 0.5197, 0.4089)  2 Ge 2.56-2.70
Cl (0.9803, 0.3893, 0.3022)  2 Ge 2.56-2.70
Cl (0.5197, 0.1978, 0.1107)  2 Ge 2.56-2.70
Cl (0.5870, 0.6978, 0.6781)  2 Ge 2.56-2.70
Cl (0.9803, 0.5911, 0.1781)  2 Ge 2.56-2.70
Cl (0.3219, 0.8022, 0.4130)  2 Ge 2.56-2.70
Cl (0.0911, 0.9130, 0.1107)  2 Ge 2.56-2.70
Cl (0.5911, 0.9803, 0.6781)  2 Ge 2.56-2.70
Cl (0.6978, 0.5870, 0.1781)  2 Ge 2.56-2.70
Cl (0.8022, 0.4803, 0.3893)  2 Ge 2.56-2.70
Cl (0.8219, 0.9089, 0.0197)  2 Ge 2.56-2.70
Cl (0.1107, 0.6978, 0.5197)  2 Ge 2.56-2.70
Cl (0.3893, 0.4089, 0.0870)  2 Ge 2.56-2.70
Cl (0.0870, 0.9089, 0.3893)  2 Ge 2.56-2.70
Cl (0.4130, 0.1107, 0.5911)  2 Ge 2.56-2.70
Cl (0.0870, 0.1781, 0.1978)  2 Ge 2.56-2.70
Cl (0.4803, 0.6781, 0.0911)  2 Ge 2.56-2.70
Cl (0.8219, 0.9130, 0.3022)  2 Ge 2.56-2.70
Cl (0.1107, 0.4130, 0.0911)  2 Ge 2.56-2.70
Cl (0.3893, 0.9803, 0.8022)  2 Ge 2.56-2.70
Cl (0.5911, 0.6107, 0.4130)  2 Ge 2.56-2.70
Cl (0.9089, 0.8219, 0.5197)  2 Ge 2.56-2.70
Cl (0.8022, 0.3219, 0.9130)  2 Ge 2.56-2.70
Cl (0.4089, 0.3893, 0.5870)  2 Ge 2.56-2.70
Cl (0.0911, 0.1781, 0.4803)  2 Ge 2.56-2.70
Cl (0.1978, 0.6781, 0.0870)  2 Ge 2.56-2.70
Cl (0.1781, 0.0870, 0.6978)  2 Ge 2.56-2.70
Cl (0.6107, 0.0197, 0.1978)  2 Ge 2.56-2.70
Cl (0.8893, 0.5870, 0.9089)  2 Ge 2.56-2.70
Cl (0.5197, 0.3219, 0.9089)  2 Ge 2.56-2.70
Cl (0.5870, 0.8893, 0.4089)  2 Ge 2.56-2.70
Cl (0.9130, 0.8219, 0.8022)  2 Ge 2.56-2.70
Cl (0.9130, 0.0911, 0.6107)  2 Ge 2.56-2.70
Cl (0.8893, 0.3022, 0.4803)  2 Ge 2.56-2.70
Cl (0.1781, 0.0911, 0.9803)  2 Ge 2.56-2.70
Cl (0.6107, 0.5911, 0.9130)  2 Ge 2.56-2.70
Cl (0.4089, 0.0197, 0.3219)  2 Ge 2.56-2.70
Cl (0.3022, 0.4130, 0.8219)  2 Ge 2.56-2.70
Cl (0.1978, 0.5197, 0.6107)  2 Ge 2.56-2.70
Cl (0.9089, 0.0870, 0.8893)  2 Ge 2.56-2.70
Cl (0.6781, 0.1978, 0.5870)  2 Ge 2.56-2.70
Cl (0.4803, 0.8022, 0.8893)  2 Ge 2.56-2.70
Cl (0.0197, 0.4089, 0.8219)  2 Ge 2.56-2.70
Cl (0.4130, 0.3022, 0.3219)  2 Ge 2.56-2.70
Cl (0.0197, 0.6107, 0.6978)  2 Ge 2.56-2.70
Cl (0.6781, 0.4803, 0.5911)  2 Ge 2.56-2.70
Cl (0.3022, 0.8893, 0.9803)  2 Ge 2.56-2.70

***

[4]
Here is a relaxed structure of Cu2SeO6 from Alexandria via LeMat-Bulk. Energies are from PBE.

Calculated total energy = -4.98 eV per atom
Formation energy (no corrections) = -0.374 eV per atom

Unit cell a=4.9620 b=4.5766 c=8.2991 alpha=90.00 beta=89.97 gamma=90.00
With the nearest neighbours (Å) after each atom.
Positions (direct):
Cu (0.0000, 0.4997, 0.8129)  6 O 1.95-2.08
Cu (0.5000, 0.9997, 0.6871)  6 O 1.95-2.08
Cu (0.5000, 0.0003, 0.3129)  6 O 1.95-2.08
Cu (0.0000, 0.5003, 0.1871)  6 O 1.95-2.08
Se (0.5000, 0.5000, 0.0000)  6 O 1.79-1.86
Se (0.0000, 0.0000, 0.5000)  6 O 1.79-1.86
O (0.8317, 0.7768, 0.3422)  1 Se 1.86, 2 Cu 1.95-1.99
O (0.8317, 0.7763, 0.6577)  1 Se 1.86, 2 Cu 1.95-1.99
O (0.8037, 0.7120, 0.9998)  1 Se 1.79
O (0.6963, 0.2120, 0.5002)  1 Se 1.79
O (0.6683, 0.2763, 0.8423)  1 Se 1.86, 2 Cu 1.95-1.99
O (0.6683, 0.2768, 0.1578)  1 Se 1.86, 2 Cu 1.95-1.99
O (0.1683, 0.2232, 0.6578)  1 Se 1.86, 2 Cu 1.95-1.99
O (0.1683, 0.2237, 0.3423)  1 Se 1.86, 2 Cu 1.95-1.99
O (0.1963, 0.2880, 0.0002)  1 Se 1.79
O (0.3037, 0.7880, 0.4998)  1 Se 1.79
O (0.3317, 0.7237, 0.1577)  1 Se 1.86, 2 Cu 1.95-1.99
O (0.3317, 0.7232, 0.8422)  1 Se 1.86, 2 Cu 1.95-1.99

***

[5]
Here is a relaxed structure of AcCeTaO6 from Alexandria via LeMat-Bulk. Energies are from PBE.

Calculated total energy = -8.97 eV per atom
Formation energy (no corrections) = -3.235 eV per atom

Unit cell a=5.7159 b=5.7159 c=10.3414 alpha=90.00 beta=90.00 gamma=120.00
With the nearest neighbours (Å) after each atom.
Positions (direct):
Ac (0.0000, 0.0000, 0.0000)  6 O 2.56
Ac (0.0000, 0.0000, 0.5000)  6 O 2.56
Ce (0.3333, 0.6667, 0.2500)  6 O 2.25
Ce (0.6667, 0.3333, 0.7500)  6 O 2.25
Ta (0.6667, 0.3333, 0.2500)  6 O 2.01
Ta (0.3333, 0.6667, 0.7500)  6 O 2.01
O (0.6510, 0.6196, 0.1430)  1 Ta 2.01, 1 Ce 2.25
O (0.9686, 0.3490, 0.1430)  1 Ta 2.01, 1 Ce 2.25
O (0.3490, 0.9686, 0.6430)  1 Ta 2.01, 1 Ce 2.25
O (0.0314, 0.6510, 0.8570)  1 Ta 2.01, 1 Ce 2.25
O (0.3804, 0.3490, 0.3570)  1 Ta 2.01, 1 Ce 2.25
O (0.9686, 0.6196, 0.3570)  1 Ta 2.01, 1 Ce 2.25
O (0.6196, 0.9686, 0.8570)  1 Ta 2.01, 1 Ce 2.25
O (0.6510, 0.0314, 0.3570)  1 Ta 2.01, 1 Ce 2.25
O (0.0314, 0.3804, 0.6430)  1 Ta 2.01, 1 Ce 2.25
O (0.3804, 0.0314, 0.1430)  1 Ta 2.01, 1 Ce 2.25
O (0.6196, 0.6510, 0.6430)  1 Ta 2.01, 1 Ce 2.25
O (0.3490, 0.3804, 0.8570)  1 Ta 2.01, 1 Ce 2.25

***

[6]
Here is a relaxed structure of ErTlCuPd from Alexandria via LeMat-Bulk. Energies are from PBE.

Calculated total energy = -4.45 eV per atom
Energy relative to the elements = -391 meV/atom

Unit cell a=4.7848 b=4.7848 c=4.7848 alpha=60.00 beta=60.00 gamma=60.00
With the nearest neighbours (Å) after each atom.
Positions (direct):
Tl (0.7500, 0.7500, 0.7500)  4 Cu 2.93, 4 Pd 2.93
Cu (0.0000, 0.0000, 0.0000)  4 Er 2.93, 4 Tl 2.93
Pd (0.5000, 0.5000, 0.5000)  4 Tl 2.93, 4 Er 2.93
Er (0.2500, 0.2500, 0.2500)  4 Cu 2.93, 4 Pd 2.93

***

[7]
Here is a relaxed structure of CrSbAs2 from Alexandria via LeMat-Bulk. Energies are from PBE.

Calculated total energy = -5.37 eV per atom
Formation energy (no corrections) = 0.390 eV per atom

Unit cell a=3.4374 b=4.8307 c=4.8237 alpha=90.00 beta=90.00 gamma=90.00
With the nearest neighbours (Å) after each atom.
Positions (direct):
As (0.0000, 0.0000, 0.0000)  4 Cr 2.96, 4 As 2.96
As (0.5000, 0.5000, 0.0000)  4 Sb 2.96, 4 As 2.96
Cr (0.5000, 0.0000, 0.5000)  4 As 2.96, 4 Sb 2.96
Sb (0.0000, 0.5000, 0.5000)  4 As 2.96, 4 Cr 2.96

***

[8]
Here is a relaxed structure of BaNiTe from Alexandria via LeMat-Bulk. Energies are from PBE.

Calculated total energy = -4.46 eV per atom
Formation energy (no corrections) = -0.849 eV per atom

Unit cell a=4.4545 b=4.4545 c=9.6738 alpha=90.00 beta=90.00 gamma=120.00
With the nearest neighbours (Å) after each atom.
Positions (direct):
Ni (0.3333, 0.6667, 0.7500)  3 Te 2.57
Ni (0.6667, 0.3333, 0.2500)  3 Te 2.57
Te (0.3333, 0.6667, 0.2500)  3 Ni 2.57
Te (0.6667, 0.3333, 0.7500)  3 Ni 2.57
Ba (0.0000, 0.0000, 0.0000)  6 Ni 3.53, 6 Te 3.53
Ba (0.0000, 0.0000, 0.5000)  6 Te 3.53, 6 Ni 3.53

***

[9]
Here is a relaxed structure of MgSc2Ru from Alexandria via LeMat-Bulk. Energies are from PBE.

Calculated total energy = -6.11 eV per atom
Energy relative to the elements = -230 meV/atom

Unit cell a=5.8622 b=5.8622 c=5.8622 alpha=147.46 beta=132.26 gamma=58.97
With the nearest neighbours (Å) after each atom.
Positions (direct):
Mg (0.4601, 0.4601, 0.0000)  2 Ru 2.73, 4 Sc 3.01
Ru (0.2463, 0.7463, 0.5000)  6 Sc 2.64-2.89, 2 Mg 2.73
Sc (0.0442, 0.0442, 0.0000)  2 Ru 2.64
Sc (0.7495, 0.2495, 0.5000)  4 Ru 2.89, 2 Sc 3.16, 2 Mg 3.20

***

[10]
Here is a relaxed structure of ZnGa4Ag from Alexandria via LeMat-Bulk. Energies are from PBE.

Calculated total energy = -2.56 eV per atom
Energy relative to the elements = 143 meV/atom
E above lowest polymorph = 99 meV per atom

Unit cell a=5.4325 b=5.4325 c=5.4325 alpha=60.00 beta=60.00 gamma=60.00
With the nearest neighbours (Å) after each atom.
Positions (direct):
Zn (0.2500, 0.2500, 0.2500)  12 Ga 3.18, 4 Ag 3.33
Ga (0.6249, 0.6249, 0.1252)  6 Ga 2.72
Ga (0.6249, 0.1252, 0.6249)  6 Ga 2.72
Ga (0.6249, 0.6249, 0.6249)  6 Ga 2.72
Ga (0.1252, 0.6249, 0.6249)  6 Ga 2.72
Ag (0.0000, 0.0000, 0.0000)  12 Ga 3.19, 4 Zn 3.33